A plane-wave DFT calculation with PBE with a Hubbard U was carried out for a geometry-optimized NaFe2AgF8 structure.

The density of states at the Fermi level is 0.000 states/eV/atom. The total moment is 0.852 μB/atom. As for the volume: 168.5 Å³/cell. The electronic total energy comes out at -55.3 eV per cell.

```
NaFe2AgF8
1.0
5.642 0.000 0.000
-2.821 4.886 0.000
0.000 0.000 6.112
Na Fe Ag F
1 2 1 8
Direct
0.000 0.000 0.000
0.333 0.667 0.925
0.667 0.333 0.075
0.000 0.000 0.500
0.056 0.381 0.140
0.324 0.944 0.140
0.333 0.667 0.621
0.381 0.324 0.860
0.619 0.676 0.140
0.667 0.333 0.379
0.676 0.056 0.860
0.944 0.619 0.860
```